Entry 1:
# HfCr2Pt2

HfCr2Pt2 after structural relaxation (PBE, the Alexandria database).

E above lowest polymorph: 0.000 eV per atom

```
HfCr2Pt2
1.0
3.9808 0.0000 0.0000
0.0000 3.9808 0.0000
1.9904 1.9904 5.0309
Cr Hf Pt
2 1 2
Cartesian
1.9904 1.9904 0.9196
3.9808 3.9808 4.1114
0.0000 0.0000 0.0000
3.9808 1.9904 2.5155
1.9904 3.9808 2.5155
```

Entry 2:
# CrFePt2

CrFePt2 after structural relaxation (PBE, the Alexandria database).

calculated total energy: -30.5 eV per cell

```
CrFePt2
1.0
2.6901 0.0005 0.0000
-0.0006 2.6901 0.0000
0.0000 0.0000 7.5950
Cr Fe Pt
1 1 2
Cartesian
0.0000 0.0000 3.8969
1.3447 1.3453 5.5907
0.0000 0.0000 7.4510
1.3447 1.3453 2.0488
```

Across the entries above, spin magnetization takes the values 0.0, 1.4 μB/f.u., respectively.